{
  "formula": "TlHgGeSe3",
  "functional": "PBE",
  "state": "relaxed",
  "cell": [[7.7274, 0.0000, 0.0000], [0.0000, 4.5491, 0.0000], [-2.9634, 0.0000, 10.6801]],
  "species": ["Tl", "Tl", "Hg", "Hg", "Ge", "Ge", "Se", "Se", "Se", "Se", "Se", "Se"],
  "frac_coords": [[0.1600, 0.2500, 0.3441], [0.8400, 0.7500, 0.6559], [0.3282, 0.2500, 0.0448], [0.6718, 0.7500, 0.9552], [0.2670, 0.2500, 0.6918], [0.7330, 0.7500, 0.3082], [0.0732, 0.2500, 0.8333], [0.2399, 0.7500, 0.5894], [0.4128, 0.7500, 0.1783], [0.5872, 0.2500, 0.8217], [0.7601, 0.2500, 0.4106], [0.9268, 0.7500, 0.1667]],
  "total_magnetization_mub_per_cell": 0.0,
  "n_ef_per_ev_atom": 0.181,
  "final_energy_ev_per_atom": -3.176,
  "raw_formation_energy_ev_per_fu": -1.32
}

{
  "formula": "LiAc2Sn4Ir3",
  "functional": "PBE",
  "state": "relaxed",
  "cell": [[4.6535, 0.0000, 0.0000], [0.0000, 4.6535, 0.0000], [0.0000, 0.0000, 10.8002]],
  "species": ["Li", "Ac", "Ac", "Sn", "Sn", "Sn", "Sn", "Ir", "Ir", "Ir"],
  "frac_coords": [[0.0000, 0.0000, 0.0000], [0.0000, 0.5000, 0.7500], [0.5000, 0.0000, 0.2500], [0.0000, 0.0000, 0.5000], [0.0000, 0.5000, 0.1255], [0.5000, 0.0000, 0.8745], [0.5000, 0.5000, 0.5000], [0.0000, 0.5000, 0.3702], [0.5000, 0.0000, 0.6298], [0.5000, 0.5000, 0.0000]],
  "total_magnetization_mub_per_cell": 0.0,
  "n_ef_per_ev_atom": 0.623,
  "final_energy_ev_per_atom": -5.873,
  "formation_energy_kj_per_mol_fu": -579
}